Model 1:
# BaBePtPb

A geometry-optimized BaBePtPb structure (PBE-GGA, OQMD). Values from VASP.

```
&SYSTEM
  ibrav = 0, nat = 4, ntyp = 4
/
ATOMIC_SPECIES
Ba 137.33 Ba.upf
Be 9.01 Be.upf
Pt 195.08 Pt.upf
Pb 207.20 Pb.upf
ATOMIC_POSITIONS angstrom
Ba 0.000 0.000 0.000
Be 3.672 3.672 3.672
Pt 5.508 5.508 5.508
Pb 1.836 1.836 1.836
CELL_PARAMETERS angstrom
0.000 3.672 3.672
3.672 0.000 3.672
3.672 3.672 0.000
```

Properties
Space-group type: F-43m
Calculated volume, Å³ per atom: 24.75

=====

Model 2:
# BaBePtPb

A geometry-optimized BaBePtPb structure (PBE-GGA, OQMD). Values from VASP.

```
&SYSTEM
  ibrav = 0, nat = 4, ntyp = 4
/
ATOMIC_SPECIES
Ba 137.33 Ba.upf
Be 9.01 Be.upf
Pt 195.08 Pt.upf
Pb 207.20 Pb.upf
ATOMIC_POSITIONS angstrom
Ba 0.000 0.000 0.000
Be 5.486 5.486 5.486
Pt 1.829 1.829 1.829
Pb 3.657 3.657 3.657
CELL_PARAMETERS angstrom
0.000 3.657 3.657
3.657 0.000 3.657
3.657 3.657 0.000
```

Properties
Space-group type: F-43m
Calculated volume, Å³ per atom: 24.46

=====

Ordering by calculated energy gives the sequence model 2, model 1, with the first entry being the most stable.

=====

Model 1:
# BaBePd

A geometry-optimized BaBePd structure (PBE-GGA, OQMD). Values from VASP.

```
&SYSTEM
  ibrav = 0, nat = 3, ntyp = 3
/
ATOMIC_SPECIES
Ba 137.33 Ba.upf
Be 9.01 Be.upf
Pd 106.42 Pd.upf
ATOMIC_POSITIONS angstrom
Ba 0.000 0.000 0.000
Be 5.435 5.435 5.435
Pd 1.812 1.812 1.812
CELL_PARAMETERS angstrom
0.000 3.623 3.623
3.623 0.000 3.623
3.623 3.623 0.000
```

Properties
Space-group type: F-43m
Calculated volume, Å³ per atom: 31.71

=====

Model 2:
# BaBePd

A geometry-optimized BaBePd structure (PBE-GGA, OQMD). Values from VASP.

```
&SYSTEM
  ibrav = 0, nat = 3, ntyp = 3
/
ATOMIC_SPECIES
Ba 137.33 Ba.upf
Be 9.01 Be.upf
Pd 106.42 Pd.upf
ATOMIC_POSITIONS angstrom
Ba 0.000 0.000 0.000
Be 1.694 1.694 1.694
Pd 3.387 3.387 3.387
CELL_PARAMETERS angstrom
0.000 3.387 3.387
3.387 0.000 3.387
3.387 3.387 0.000
```

Properties
Space-group type: F-43m
Calculated volume, Å³ per atom: 25.91

=====

Ordering by calculated energy gives the sequence model 2, model 1, with the first entry being the most stable.